# LaSi4Tc4

LaSi4Tc4 after structural relaxation (PBE, the Alexandria database).

a b c (Å): 4.6643 8.1537 8.1537
angles (deg): 90.00 90.00 90.00
With the nearest neighbours (Å) after each atom.
Atoms (fractional coordinates):
La  0.0000  0.0000  0.0000  4 Tc 3.25, 8 Si 3.25-3.40
La  0.5000  0.5000  0.5000  4 Tc 3.25, 8 Si 3.25-3.40
Si  0.5823  0.8434  0.3033  1 Si 2.35, 5 Tc 2.37-2.61
Si  0.5823  0.1566  0.6967  1 Si 2.35, 5 Tc 2.37-2.61
Si  0.0823  0.8033  0.6566  1 Si 2.35, 5 Tc 2.37-2.61
Si  0.9177  0.3434  0.8033  1 Si 2.35, 5 Tc 2.37-2.61
Si  0.9177  0.6566  0.1967  1 Si 2.35, 5 Tc 2.37-2.61
Si  0.4177  0.3033  0.1566  1 Si 2.35, 5 Tc 2.37-2.61
Si  0.4177  0.6967  0.8434  1 Si 2.35, 5 Tc 2.37-2.61
Si  0.0823  0.1967  0.3434  1 Si 2.35, 5 Tc 2.37-2.61
Tc  0.4120  0.3780  0.8758  5 Si 2.37-2.61
Tc  0.9120  0.6242  0.8780  5 Si 2.37-2.61
Tc  0.4120  0.6220  0.1242  5 Si 2.37-2.61
Tc  0.0880  0.1220  0.6242  5 Si 2.37-2.61
Tc  0.5880  0.8758  0.6220  5 Si 2.37-2.61
Tc  0.0880  0.8780  0.3758  5 Si 2.37-2.61
Tc  0.9120  0.3758  0.1220  5 Si 2.37-2.61
Tc  0.5880  0.1242  0.3780  5 Si 2.37-2.61

Properties
Calculated volume (Å³/atom): 17.2
Magnetic moment (μB per atom): 0.000
Formation energy without anion corrections (eV/atom): -0.55
Density of states at the Fermi level (states/eV/atom): 0.776
VASP energy (eV per atom): -8.119